1.
First-principles (GGA-PBE) data for a relaxed structure of Zr2CrBr, as listed in the Alexandria database.

Values from the calculation:
Its density of states at the Fermi level is 3.2 states/eV/f.u. The calculation puts the uncorrected energy at -28.59 eV/f.u. Its crystal system is trigonal. The value obtained for the energy relative to the elements, uncorrected is -48 meV per atom.

```
Zr2CrBr
1.0
8.5039 0.0135 0.0080
7.8335 3.3095 0.0080
7.8335 1.5933 2.9007
Br Cr Zr
1 1 2
Cartesian
6.0428 1.2291 0.7292
18.1283 3.6873 2.1876
0.2554 0.0519 0.0308
11.8301 2.4062 1.4276
```

=====

2.
First-principles (GGA-PBE) data for a relaxed structure of Sm2EuBr, as listed in the Alexandria database.

Values from the calculation:
Its density of states at the Fermi level is 5.6 states/eV/f.u. The calculation puts the uncorrected energy at -22.68 eV/f.u. Its crystal system is trigonal. The value obtained for the energy relative to the elements, uncorrected is -325 meV per atom.

```
Sm2EuBr
1.0
-2.9976 1.6792 1.0887
-2.4598 -1.7813 1.9409
3.5816 3.2285 10.8487
Eu Br Sm
1 1 2
Cartesian
0.0000 0.0000 0.0000
-0.9379 1.5632 6.9391
1.9819 2.2621 7.9345
-3.8577 0.8642 5.9438
```

=====

Number 1: V 81.1 Å³ per cell. Number 2: V 131.5 Å³ per cell.